This record from the Alexandria database describes crystalline Na3HgSe3 at its relaxed geometry. The functional is PBE.

Cell and atoms, written as CIF:
```
data_Na3HgSe3
_space_group_name_H-M_alt 'R 3 m'
_space_group_IT_number 160
_space_group_name_Hall 'R 3 -2"'
_cell_length_a 10.9139
_cell_length_b 10.9139
_cell_length_c 5.7292
_cell_angle_alpha 90.00
_cell_angle_beta 90.00
_cell_angle_gamma 120.00
loop_
_atom_site_label
_atom_site_fract_x
_atom_site_fract_y
_atom_site_fract_z
_atom_site_occupancy
Na1 0.1699 0.3398 0.0000 1
Hg1 0.0000 0.0000 0.7901 1
Se1 0.1951 0.3903 0.4994 1
```

***

# Na5Hg2Se4 | the Alexandria database | PBE | relaxed
# excess energy over the best structure of this formula in the dataset	0	meV per atom
data_Na5Hg2Se4
_space_group_name_H-M_alt 'C 1 2/m 1'
_space_group_IT_number 12
_space_group_name_Hall '-C 2y'
_cell_length_a 17.3077
_cell_length_b 4.5019
_cell_length_c 8.6028
_cell_angle_alpha 90.00
_cell_angle_beta 109.04
_cell_angle_gamma 90.00
loop_
_atom_site_label
_atom_site_fract_x
_atom_site_fract_y
_atom_site_fract_z
_atom_site_occupancy
Na1 0.0000 0.0000 0.0000 1
Na2 0.1628 0.5000 0.4768 1
Na3 0.1794 0.5000 0.9099 1
Hg1 0.0586 0.0000 0.6556 1
Se1 0.0014 0.5000 0.7817 1
Se2 0.2236 0.0000 0.7310 1

***

This record from the Alexandria database describes crystalline Na5Hg2Se5 at its relaxed geometry. The functional is PBE.

Cell and atoms, written as CIF:
```
data_Na5Hg2Se5
_space_group_name_H-M_alt 'I 4 m m'
_space_group_IT_number 107
_space_group_name_Hall 'I 4 -2'
_cell_length_a 9.6578
_cell_length_b 9.6578
_cell_length_c 7.2122
_cell_angle_alpha 90.00
_cell_angle_beta 90.00
_cell_angle_gamma 90.00
loop_
_atom_site_label
_atom_site_fract_x
_atom_site_fract_y
_atom_site_fract_z
_atom_site_occupancy
Na1 0.0000 0.0000 0.0000 1
Na2 0.2000 0.2000 0.5253 1
Hg1 0.0000 0.5000 0.1077 1
Se1 0.0000 0.0000 0.3973 1
Se2 0.0000 0.2917 0.8564 1
```

***

# Na2HgSe | the Alexandria database | PBE | relaxed
# excess energy over the best structure of this formula in the dataset	155	meV per atom
data_Na2HgSe
_space_group_name_H-M_alt 'P 4/m m m'
_space_group_IT_number 123
_space_group_name_Hall '-P 4 2'
_cell_length_a 3.7296
_cell_length_b 3.7296
_cell_length_c 7.5823
_cell_angle_alpha 90.00
_cell_angle_beta 90.00
_cell_angle_gamma 90.00
loop_
_atom_site_label
_atom_site_fract_x
_atom_site_fract_y
_atom_site_fract_z
_atom_site_occupancy
Na1 0.0000 0.0000 0.1920 1
Hg1 0.5000 0.5000 0.5000 1
Se1 0.5000 0.5000 0.0000 1

***

# Na2HgSe | the Alexandria database | PBE | relaxed
# excess energy over the best structure of this formula in the dataset	147	meV per atom
data_Na2HgSe
_space_group_name_H-M_alt 'P 4/m m m'
_space_group_IT_number 123
_space_group_name_Hall '-P 4 2'
_cell_length_a 5.0254
_cell_length_b 5.0254
_cell_length_c 3.9142
_cell_angle_alpha 90.00
_cell_angle_beta 90.00
_cell_angle_gamma 90.00
loop_
_atom_site_label
_atom_site_fract_x
_atom_site_fract_y
_atom_site_fract_z
_atom_site_occupancy
Na1 0.0000 0.5000 0.0000 1
Hg1 0.0000 0.0000 0.5000 1
Se1 0.5000 0.5000 0.5000 1

***

# Na2HgSe | the Alexandria database | PBE | relaxed
# excess energy over the best structure of this formula in the dataset	40	meV per atom
data_Na2HgSe
_space_group_name_H-M_alt 'F m -3 m'
_space_group_IT_number 225
_space_group_name_Hall '-F 4 2 3'
_cell_length_a 7.3415
_cell_length_b 7.3415
_cell_length_c 7.3415
_cell_angle_alpha 90.00
_cell_angle_beta 90.00
_cell_angle_gamma 90.00
loop_
_atom_site_label
_atom_site_fract_x
_atom_site_fract_y
_atom_site_fract_z
_atom_site_occupancy
Na1 0.2500 0.2500 0.2500 1
Hg1 0.0000 0.0000 0.0000 1
Se1 0.0000 0.0000 0.5000 1

***

# Na2HgSe | the Alexandria database | PBE | relaxed
# excess energy over the best structure of this formula in the dataset	202	meV per atom
data_Na2HgSe
_space_group_name_H-M_alt 'I -4 2 d'
_space_group_IT_number 122
_space_group_name_Hall 'I -4 2bw'
_cell_length_a 6.1759
_cell_length_b 6.1759
_cell_length_c 16.4027
_cell_angle_alpha 90.00
_cell_angle_beta 90.00
_cell_angle_gamma 90.00
loop_
_atom_site_label
_atom_site_fract_x
_atom_site_fract_y
_atom_site_fract_z
_atom_site_occupancy
Na1 0.1522 0.2500 0.1250 1
Hg1 0.0000 0.0000 0.5000 1
Se1 0.0000 0.0000 0.0000 1

***

This record from the Alexandria database describes crystalline Na4Hg2Se at its relaxed geometry. The functional is PBE.

Cell and atoms, written as CIF:
```
data_Na4Hg2Se
_space_group_name_H-M_alt 'I 4/m m m'
_space_group_IT_number 139
_space_group_name_Hall '-I 4 2'
_cell_length_a 5.5771
_cell_length_b 5.5771
_cell_length_c 15.2630
_cell_angle_alpha 90.00
_cell_angle_beta 90.00
_cell_angle_gamma 90.00
loop_
_atom_site_label
_atom_site_fract_x
_atom_site_fract_y
_atom_site_fract_z
_atom_site_occupancy
Na1 0.0000 0.0000 0.1851 1
Na2 0.0000 0.5000 0.0000 1
Hg1 0.0000 0.0000 0.3895 1
Se1 0.0000 0.0000 0.0000 1
```

***

This record from the Alexandria database describes crystalline NaHgSe2 at its relaxed geometry. The functional is PBE.

Cell and atoms, written as CIF:
```
data_NaHgSe2
_space_group_name_H-M_alt 'I -4 2 d'
_space_group_IT_number 122
_space_group_name_Hall 'I -4 2bw'
_cell_length_a 7.7706
_cell_length_b 7.7706
_cell_length_c 6.5680
_cell_angle_alpha 90.00
_cell_angle_beta 90.00
_cell_angle_gamma 90.00
loop_
_atom_site_label
_atom_site_fract_x
_atom_site_fract_y
_atom_site_fract_z
_atom_site_occupancy
Na1 0.0000 0.0000 0.0000 1
Hg1 0.0000 0.0000 0.5000 1
Se1 0.2233 0.7500 0.6250 1
```

***

# NaHg2Se2 | the Alexandria database | PBE | relaxed
# excess energy over the best structure of this formula in the dataset	0	meV per atom
data_NaHg2Se2
_space_group_name_H-M_alt 'C 1 2/m 1'
_space_group_IT_number 12
_space_group_name_Hall '-C 2y'
_cell_length_a 10.0635
_cell_length_b 13.7609
_cell_length_c 5.6149
_cell_angle_alpha 90.00
_cell_angle_beta 122.29
_cell_angle_gamma 90.00
loop_
_atom_site_label
_atom_site_fract_x
_atom_site_fract_y
_atom_site_fract_z
_atom_site_occupancy
Na1 0.0000 0.1488 0.0000 1
Hg1 0.0000 0.3569 0.5000 1
Hg2 0.2460 0.5000 0.2621 1
Se1 0.0000 0.1753 0.5000 1
Se2 0.2246 0.5000 0.7433 1

***

# Na2HgSe2 | the Alexandria database | PBE | relaxed
# excess energy over the best structure of this formula in the dataset	365	meV per atom
data_Na2HgSe2
_space_group_name_H-M_alt 'I 4/m m m'
_space_group_IT_number 139
_space_group_name_Hall '-I 4 2'
_cell_length_a 4.1422
_cell_length_b 4.1422
_cell_length_c 15.8396
_cell_angle_alpha 90.00
_cell_angle_beta 90.00
_cell_angle_gamma 90.00
loop_
_atom_site_label
_atom_site_fract_x
_atom_site_fract_y
_atom_site_fract_z
_atom_site_occupancy
Na1 0.0000 0.0000 0.1174 1
Hg1 0.0000 0.0000 0.5000 1
Se1 0.0000 0.5000 0.2500 1

***

# Na2HgSe2 | the Alexandria database | PBE | relaxed
# excess energy over the best structure of this formula in the dataset	0	meV per atom
data_Na2HgSe2
_space_group_name_H-M_alt 'C 1 2/m 1'
_space_group_IT_number 12
_space_group_name_Hall '-C 2y'
_cell_length_a 14.0820
_cell_length_b 5.5711
_cell_length_c 7.5991
_cell_angle_alpha 90.00
_cell_angle_beta 103.43
_cell_angle_gamma 90.00
loop_
_atom_site_label
_atom_site_fract_x
_atom_site_fract_y
_atom_site_fract_z
_atom_site_occupancy
Na1 0.0900 0.0000 0.2956 1
Na2 0.0907 0.5000 0.7959 1
Hg1 0.2502 0.0000 0.7501 1
Se1 0.1174 0.5000 0.4176 1
Se2 0.1178 0.0000 0.9179 1

***

| no. | total magnetization (μB/cell) | uncorrected formation energy (meV per atom) |
| --- | --- | --- |
| 1 | 0.0 | -628 |
| 2 | 0.0 | -722 |
| 3 | 0.8 | -675 |
| 4 | 0.0 | -578 |
| 5 | 0.0 | -586 |
| 6 | 0.0 | -693 |
| 7 | 0.0 | -532 |
| 8 | 0.0 | -415 |
| 9 | 0.0 | -353 |
| 10 | 0.0 | -344 |
| 11 | 0.0 | -372 |
| 12 | 0.0 | -738 |